# 1
Density functional theory data (SCAN) for Cr3CuSn at its PBEsol-relaxed geometry.

POSCAR file:
```
Cr3CuSn
1.0
-0.865 -1.728 -3.988
-3.163 -2.539 1.786
-2.982 3.195 -0.738
Cr Sn Cu
3 1 1
Direct
0.000 0.500 0.000
0.000 0.000 0.500
0.500 0.000 0.000
0.500 0.500 0.500
0.000 0.000 0.000
```

Properties
- Crystal system: cubic
- DFT total energy: -20.387 eV/atom
- Formation energy: 0.8682 eV/atom


# 2
Density functional theory data (SCAN) for Sr2CrCu at its PBEsol-relaxed geometry.

POSCAR file:
```
Sr2CrCu
1.0
3.811 0.000 0.000
0.000 5.207 -0.044
-1.905 -2.561 5.588
Cr Cu Sr
1 1 2
Direct
0.563 0.563 0.125
0.209 0.708 0.417
0.968 0.968 0.936
0.761 0.261 0.522
```

Properties
- Crystal system: orthorhombic
- DFT total energy: -19.252 eV/atom
- Formation energy: 0.2817 eV/atom
- Excess energy over the best structure of this formula in the dataset: 0.000 eV per atom


# 3
Density functional theory data (SCAN) for SrCrCu2 at its PBEsol-relaxed geometry.

POSCAR file:
```
SrCrCu2
1.0
3.244 0.000 0.000
0.000 3.244 0.000
0.000 0.000 6.944
Cr Cu Sr
1 2 1
Direct
0.500 0.500 0.828
0.000 0.000 0.014
0.500 0.500 0.179
0.000 0.000 0.479
```

Properties
- Crystal system: tetragonal
- DFT total energy: -17.386 eV/atom
- Formation energy: 0.3785 eV/atom


# 4
Density functional theory data (SCAN) for Sr2CrCu at its PBEsol-relaxed geometry.

POSCAR file:
```
Sr2CrCu
1.0
3.775 0.000 0.026
0.000 3.775 0.000
-0.053 0.000 7.781
Cr Cu Sr
1 1 2
Direct
0.500 0.500 0.000
0.500 0.500 0.500
0.000 0.000 0.731
0.000 0.000 0.269
```

Properties
- Crystal system: tetragonal
- DFT total energy: -19.229 eV/atom
- Formation energy: 0.3042 eV/atom
- Excess energy over the best structure of this formula in the dataset: 0.022 eV per atom


# 5
Density functional theory data (SCAN) for SrCrCu2 at its PBEsol-relaxed geometry.

POSCAR file:
```
SrCrCu2
1.0
4.256 -0.008 -0.030
-2.121 3.690 0.030
-2.102 -1.241 5.222
Cr Cu Sr
1 2 1
Direct
0.500 0.500 0.000
0.882 0.191 0.073
0.118 0.809 0.927
0.500 0.000 0.500
```

Properties
- Crystal system: monoclinic
- DFT total energy: -17.669 eV/atom
- Formation energy: 0.0953 eV/atom


# 6
Density functional theory data (SCAN) for SrCrCu2 at its PBEsol-relaxed geometry.

POSCAR file:
```
SrCrCu2
1.0
-0.516 -3.408 1.020
3.741 -0.877 -1.039
1.997 2.990 4.663
Cr Cu Sr
1 2 1
Direct
0.254 0.500 0.882
0.796 0.000 0.968
0.914 0.500 0.202
0.536 0.000 0.448
```

Properties
- Crystal system: orthorhombic
- DFT total energy: -17.505 eV/atom
- Formation energy: 0.2595 eV/atom


Please write out number 3 again, unchanged.
Density functional theory data (SCAN) for SrCrCu2 at its PBEsol-relaxed geometry.

POSCAR file:
```
SrCrCu2
1.0
3.244 0.000 0.000
0.000 3.244 0.000
0.000 0.000 6.944
Cr Cu Sr
1 2 1
Direct
0.500 0.500 0.828
0.000 0.000 0.014
0.500 0.500 0.179
0.000 0.000 0.479
```

Properties
- Crystal system: tetragonal
- DFT total energy: -17.386 eV/atom
- Formation energy: 0.3785 eV/atom


Repeat the second record exactly.
Density functional theory data (SCAN) for Sr2CrCu at its PBEsol-relaxed geometry.

POSCAR file:
```
Sr2CrCu
1.0
3.811 0.000 0.000
0.000 5.207 -0.044
-1.905 -2.561 5.588
Cr Cu Sr
1 1 2
Direct
0.563 0.563 0.125
0.209 0.708 0.417
0.968 0.968 0.936
0.761 0.261 0.522
```

Properties
- Crystal system: orthorhombic
- DFT total energy: -19.252 eV/atom
- Formation energy: 0.2817 eV/atom
- Excess energy over the best structure of this formula in the dataset: 0.000 eV per atom


Among the records above, which one has the lowest DFT total energy? Cr3CuSn